[1]
16
Lattice="0.0000 4.8030 11.0914 3.0676 0.0000 11.0914 3.0676 4.8030 0.0000" Properties=species:S:1:pos:R:3 comment="Ac2CuBPt4 PBE-GGA optimized geometry" vol_a3_per_atom=20.43 formation_enthalpy_0k_ev_per_atom=-0.7011 pbc="T T T"
Ac 2.3007 3.6023 1.3792
Ac 3.8344 6.0038 6.9249
Ac 2.3007 3.6023 15.2578
Ac 3.8344 6.0038 20.8035
Cu 0.7669 1.2008 2.7728
Cu 5.3682 8.4053 19.4099
B 2.3007 3.6023 8.3185
B 3.8344 6.0038 13.8642
Pt 3.4756 2.6437 6.8308
Pt 3.4756 4.5608 9.8062
Pt 5.0093 5.0452 15.3519
Pt 5.0093 6.9623 12.3765
Pt 1.1258 2.6437 9.8062
Pt 1.1258 4.5608 6.8308
Pt 2.6596 5.0452 12.3765
Pt 2.6596 6.9623 15.3519



[2]
12
Lattice="7.2936 0.0000 0.0000 0.0000 5.0574 0.0000 -3.3785 0.0000 6.5755" Properties=species:S:1:pos:R:3 comment="KZn2AsH2 PBE-GGA optimized geometry" vol_a3_per_atom=20.21 dft_energy_ev_per_atom=-2.6893 pbc="T T T"
K 0.3662 1.2644 1.9287
K 3.5489 3.7931 4.6467
Zn -0.1360 5.0568 5.2744
Zn -0.1360 2.5294 5.2744
Zn 4.0511 0.0007 1.3011
Zn 4.0511 2.5281 1.3011
As 1.9672 3.7931 0.5112
As 1.9479 1.2644 6.0642
H -1.0716 1.2644 4.4631
H 0.2864 3.7931 4.1017
H 3.6287 1.2644 2.4738
H 4.9867 3.7931 2.1123



[3]
12
Lattice="10.8628 0.0000 0.0000 0.0000 3.7889 0.0000 0.0000 0.0000 2.5360" Properties=species:S:1:pos:R:3 comment="FeCuH PBE-GGA optimized geometry" vol_a3_per_atom=8.70 e_above_lowest_polymorph_kj_per_mol_atoms=4.86 pbc="T T T"
Fe 0.6100 0.9472 0.6297
Fe 4.8214 2.8417 1.8977
Fe 6.0414 0.9472 0.6384
Fe 10.2528 2.8417 1.9064
Cu 1.9694 2.8417 1.8995
Cu 3.4620 0.9472 0.6315
Cu 7.4008 2.8417 1.9045
Cu 8.8934 0.9472 0.6365
H 1.8346 0.9472 1.8986
H 3.5968 2.8417 0.6306
H 7.2660 0.9472 1.9054
H 9.0282 2.8417 0.6374



[4]
7
Lattice="-1.5010 2.3039 5.8930 1.5010 -2.3039 5.8930 1.5010 2.3039 -5.8930" Properties=species:S:1:pos:R:3 comment="H5RuSe PBE-GGA optimized geometry" vol_a3_per_atom=11.65 dft_energy_ev_per_atom=-4.0822 pbc="T T T"
H 0.0000 0.0000 0.0000
H 1.5010 0.9024 -1.8618
H 0.0000 1.4016 4.0313
H 1.1030 2.3039 2.4056
H 0.3980 0.0000 8.2986
Ru 0.0000 0.0000 10.1956
Se 1.5010 0.0000 5.3480



[5]
5
Lattice="4.8220 0.0000 0.0000 0.0000 4.8220 0.0000 0.0000 0.0000 5.0888" Properties=species:S:1:pos:R:3 comment="CuBiAsAu2 PBE-GGA optimized geometry" vol_a3_per_atom=23.66 e_above_lowest_polymorph_kj_per_mol_atoms=0.00 formation_enthalpy_0k_ev_per_atom=0.5731 pbc="T T T"
Cu 0.0000 0.0000 0.0000
Bi 0.0000 0.0000 2.5444
As 2.4110 2.4110 2.5444
Au 0.0000 2.4110 0.0000
Au 2.4110 0.0000 0.0000



[6]
4
Lattice="1.4628 0.8446 7.4559 -1.4628 0.8446 7.4559 0.0000 -1.6891 7.4559" Properties=species:S:1:pos:R:3 comment="CuSi2Rh PBE-GGA optimized geometry" vol_a3_per_atom=13.82 formation_energy_uncorrected_ev_per_atom=-0.044 pbc="T T T"
Cu 0.0000 0.0000 0.0000
Si 0.0000 0.0000 5.6961
Si 0.0000 0.0000 11.3073
Rh 0.0000 0.0000 17.0489